The following is a PBE with a Hubbard U calculation of AcCr2SnO6 after structural relaxation, from Alexandria via LeMat-Bulk.

Computed properties:
- VASP energy (eV/f.u.) = -73.97
- N(E_F) (states/eV/cell) = 2.14

abc: 5.5741 5.5741 5.5920
angles: 120.12 120.12 89.41
Fractional coordinates of all 10 atoms:
Ac 0.0000 0.0000 0.0000
Cr 0.2528 0.7515 0.4986
Cr 0.7515 0.2528 0.4986
Sn 0.5350 0.5350 0.0616
O 0.1017 0.1017 0.6010
O 0.4313 0.4313 0.3852
O 0.5362 0.9404 0.4693
O 0.5396 0.9288 0.9948
O 0.9288 0.5396 0.9948
O 0.9404 0.5362 0.4693